Record 1
# UGeSb2

An optimized crystal structure of UGeSb2 (PBE-GGA, the Alexandria database).

Cell and atoms, written as extended XYZ:
```
4
Lattice="4.006 0.000 0.000 0.000 4.006 0.000 0.000 0.000 6.051" Properties=species:S:1:pos:R:3 pbc="T T T"
Sb 0.000 0.000 4.561
Sb 0.000 0.000 1.490
Ge 2.003 2.003 0.000
U 2.003 2.003 3.025
```

Values from the calculation:
ΔE_f (raw) ... -38 kJ/mol of formula units
ρ ... 9.479 g/cm3
Electronic total energy ... -6.14 eV per atom
Space group ... P4/mmm (123)
Size of the total moment ... 2.44 μB per formula unit

=====

Record 2
# PmPr2Nd3Ho6

An optimized crystal structure of PmPr2Nd3Ho6 (PBE-GGA, the Alexandria database).

Cell and atoms, written as extended XYZ:
```
12
Lattice="6.265 -0.001 0.006 -3.131 5.426 0.006 -1.053 -1.823 11.637" Properties=species:S:1:pos:R:3 pbc="T T T"
Pm 0.000 0.000 0.000
Pr 0.002 3.616 0.006
Pr 3.131 1.809 0.006
Nd -2.091 3.610 5.825
Nd 4.171 -0.007 5.825
Nd 1.040 1.801 5.825
Ho 3.125 1.798 8.733
Ho 2.088 3.616 2.924
Ho -1.045 1.805 2.916
Ho -0.004 3.606 8.733
Ho -0.008 -0.013 8.725
Ho 2.085 -0.003 2.916
```

Values from the calculation:
ρ ... 7.761 g/cm3
E_form ... 0.0122 eV per atom
Electronic total energy ... -4.66 eV per atom
Space group ... C2/m (12)
Size of the total moment ... 0.00 μB per formula unit

=====

Record 3
# CdSbTe2

An optimized crystal structure of CdSbTe2 (PBE-GGA, the Alexandria database).

Cell and atoms, written as extended XYZ:
```
4
Lattice="5.487 0.000 0.000 0.000 3.365 0.028 0.000 1.195 6.067" Properties=species:S:1:pos:R:3 pbc="T T T"
Sb 2.744 3.420 4.571
Te 0.000 4.365 6.030
Te 0.000 2.475 3.111
Cd 2.744 1.140 1.524
```

Values from the calculation:
ΔE_f (raw) ... 69 kJ/mol of formula units
ρ ... 7.267 g/cm3
Electronic total energy ... -2.65 eV per atom
Space group ... P2/m (10)
Size of the total moment ... 0.00 μB per formula unit

=====

Record 4
# Mg2Zn

An optimized crystal structure of Mg2Zn (PBE-GGA, the Alexandria database).

Cell and atoms, written as extended XYZ:
```
6
Lattice="7.859 0.094 0.000 -7.246 3.043 0.000 0.000 0.000 4.843" Properties=species:S:1:pos:R:3 pbc="T T T"
Mg -7.220 3.038 0.000
Mg -2.304 2.079 0.000
Mg 2.780 1.086 0.000
Mg -0.485 1.723 2.421
Zn -5.461 2.695 2.421
Zn 4.457 0.759 2.421
```

Values from the calculation:
ρ ... 3.178 g/cm3
E_form ... 0.0088 eV per atom
Electronic total energy ... -1.48 eV per atom
Space group ... Amm2 (38)
Size of the total moment ... 0.00 μB per formula unit

=====

Record 5
# KHgBr2

An optimized crystal structure of KHgBr2 (PBE-GGA, the Alexandria database).

Cell and atoms, written as extended XYZ:
```
4
Lattice="-2.601 -6.729 1.603 -0.879 -6.738 -2.905 2.155 -7.019 0.837" Properties=species:S:1:pos:R:3 pbc="T T T"
Br -1.315 -20.338 -0.461
Br -0.672 -10.390 -0.235
Hg -0.331 -5.121 -0.116
K -0.994 -15.364 -0.348
```

Values from the calculation:
ΔE_f (raw) ... -334 kJ/mol of formula units
ρ ... 4.806 g/cm3
Electronic total energy ... -2.05 eV per atom
Space group ... R-3m (166)
Size of the total moment ... 0.00 μB per formula unit

=====

Record 6
# LiHf4S8

An optimized crystal structure of LiHf4S8 (PBE-GGA, the Alexandria database).

Cell and atoms, written as extended XYZ:
```
13
Lattice="7.407 0.000 0.000 3.703 6.415 0.000 3.703 2.138 6.048" Properties=species:S:1:pos:R:3 pbc="T T T"
Li 11.110 6.415 4.536
Hf 9.300 3.183 2.251
Hf 7.407 6.463 2.251
Hf 7.407 4.276 5.343
Hf 5.513 3.183 2.251
S 5.489 1.107 0.783
S 3.703 4.200 0.783
S 3.703 2.138 3.699
S 1.918 1.107 0.783
S 5.655 5.288 3.739
S 7.407 2.254 3.739
S 7.407 4.276 0.879
S 9.158 5.288 3.739
```

Values from the calculation:
ΔE_f (raw) ... -1980 kJ/mol of formula units
ρ ... 5.649 g/cm3
Electronic total energy ... -7.33 eV per atom
Space group ... F-43m (216)
Size of the total moment ... 0.00 μB per formula unit

=====

Record 7
# TlFeTc2

An optimized crystal structure of TlFeTc2 (PBE-GGA, the Alexandria database).

Cell and atoms, written as extended XYZ:
```
8
Lattice="-6.973 -0.928 -1.671 -1.559 -0.900 7.003 -4.659 1.615 2.903" Properties=species:S:1:pos:R:3 pbc="T T T"
Tl 0.000 0.000 0.000
Tl -7.949 -0.114 1.949
Tc -5.256 -0.227 0.667
Tc -3.472 -0.336 4.783
Tc -6.797 0.466 4.640
Tc -10.856 -0.329 6.379
Fe -4.266 -0.914 2.666
Fe -5.242 -0.100 6.286
```

Values from the calculation:
ρ ... 11.278 g/cm3
E_form ... 0.8628 eV per atom
Electronic total energy ... -7.03 eV per atom
Space group ... I-42d (122)
Size of the total moment ... 0.00 μB per formula unit

=====

Record 8
# Tb4PrY2Sc

An optimized crystal structure of Tb4PrY2Sc (PBE-GGA, the Alexandria database).

Cell and atoms, written as extended XYZ:
```
8
Lattice="-3.851 3.503 2.753 0.400 -5.526 7.590 3.621 0.352 4.617" Properties=species:S:1:pos:R:3 pbc="T T T"
Tb 3.026 -3.857 9.140
Tb -2.857 2.186 5.820
Tb -0.709 -2.285 8.213
Tb 0.878 0.613 6.746
Pr -1.726 -1.012 5.172
Y 3.621 0.352 4.617
Y -0.115 1.927 3.685
Sc 2.010 -2.587 6.103
```

Values from the calculation:
ρ ... 6.538 g/cm3
E_form ... 0.1358 eV per atom
Electronic total energy ... -5.18 eV per atom
Space group ... Pmmm (47)
Size of the total moment ... 0.00 μB per formula unit

=====

Record 9
# Y2NbNi

An optimized crystal structure of Y2NbNi (PBE-GGA, the Alexandria database).

Cell and atoms, written as extended XYZ:
```
8
Lattice="7.784 0.000 0.000 0.000 7.784 0.000 3.892 3.892 2.995" Properties=species:S:1:pos:R:3 pbc="T T T"
Y 5.472 1.946 0.749
Y 2.313 5.838 0.749
Y 5.838 6.205 2.246
Y 9.731 9.364 2.246
Ni 3.892 3.892 0.000
Ni 3.892 7.784 1.498
Nb 0.000 0.000 0.000
Nb 7.784 3.892 1.498
```

Values from the calculation:
ρ ... 6.028 g/cm3
E_form ... 0.3954 eV per atom
Electronic total energy ... -6.80 eV per atom
Space group ... I-42d (122)
Size of the total moment ... 0.00 μB per formula unit

=====

Record 10
# Li3CaCu2

An optimized crystal structure of Li3CaCu2 (PBE-GGA, the Alexandria database).

Cell and atoms, written as extended XYZ:
```
12
Lattice="5.076 0.000 0.000 0.000 6.604 0.045 0.000 0.388 6.593" Properties=species:S:1:pos:R:3 pbc="T T T"
Li 1.269 3.782 0.532
Li 1.269 6.265 2.889
Li 3.807 3.210 6.107
Li 1.269 0.455 6.523
Li 3.807 6.537 0.116
Li 3.807 0.727 3.749
Ca 3.807 4.347 2.422
Ca 1.269 2.645 4.216
Cu 2.538 1.689 1.603
Cu 0.000 1.689 1.603
Cu 0.000 5.303 5.035
Cu 2.538 5.303 5.035
```

Values from the calculation:
ρ ... 2.826 g/cm3
E_form ... -0.0261 eV per atom
Electronic total energy ... -2.68 eV per atom
Space group ... Cmcm (63)
Size of the total moment ... 0.00 μB per formula unit

=====

Record 11
# Ba2NaTl6Sn

An optimized crystal structure of Ba2NaTl6Sn (PBE-GGA, the Alexandria database).

Cell and atoms, written as extended XYZ:
```
10
Lattice="-4.248 -6.561 2.278 5.426 -1.468 5.889 -2.476 -0.768 7.718" Properties=species:S:1:pos:R:3 pbc="T T T"
Ba 1.770 -3.126 8.845
Ba -3.067 -5.672 7.040
Na 0.589 -4.015 4.084
Tl 2.981 -2.756 4.976
Tl 0.881 -6.000 6.103
Tl -0.926 -2.410 5.880
Tl -1.802 -5.274 3.191
Tl 0.298 -2.030 2.065
Tl -0.371 -6.388 10.005
Sn 0.000 0.000 0.000
```

Values from the calculation:
ρ ... 7.148 g/cm3
E_form ... -0.0494 eV per atom
Electronic total energy ... -2.39 eV per atom
Space group ... Fm-3m (225)
Size of the total moment ... 0.00 μB per formula unit

=====

Record 12
# ZnGaC2

An optimized crystal structure of ZnGaC2 (PBE-GGA, the Alexandria database).

Cell and atoms, written as extended XYZ:
```
4
Lattice="0.000 2.790 2.790 2.790 0.000 2.790 2.790 2.790 0.000" Properties=species:S:1:pos:R:3 pbc="T T T"
Zn 0.000 0.000 0.000
C 1.395 1.395 1.395
C 4.185 4.185 4.185
Ga 2.790 2.790 2.790
```

Values from the calculation:
ρ ... 6.086 g/cm3
E_form ... 1.9353 eV per atom
Electronic total energy ... -3.75 eV per atom
Space group ... Fm-3m (225)
Size of the total moment ... 0.00 μB per formula unit

=====

Record 13
# BaLaPm

An optimized crystal structure of BaLaPm (PBE-GGA, the Alexandria database).

Cell and atoms, written as extended XYZ:
```
6
Lattice="5.417 0.000 0.000 0.000 5.437 0.000 -2.708 0.000 8.602" Properties=species:S:1:pos:R:3 pbc="T T T"
Pm 0.000 4.077 7.414
Pm 2.708 1.359 1.187
Ba 2.708 4.077 4.311
Ba 0.000 1.359 4.290
La 2.708 1.359 7.442
La 0.000 4.077 1.160
```

Values from the calculation:
ρ ... 5.523 g/cm3
E_form ... 0.1220 eV per atom
Electronic total energy ... -3.74 eV per atom
Space group ... Cmcm (63)
Size of the total moment ... 0.00 μB per formula unit